(1)
Zn3FeAu after structural relaxation, computed with PBEsol.

a b c (Å): 4.4798 4.4798 4.4798
angles (deg): 90.00 90.00 90.00
Last column: nearest neighbours and their distance in Å.
Sites, in units of the cell vectors:
Zn  0.0000  0.0000  0.5000  2 Fe 2.24
Zn  0.0000  0.5000  0.0000  2 Fe 2.24
Zn  0.5000  0.0000  0.0000  2 Fe 2.24
Fe  0.0000  0.0000  0.0000  6 Zn 2.24
Au  0.5000  0.5000  0.5000  12 Zn 3.17

Summary:
DOS(E_F)   3.880 states/eV/f.u.
Size of the total moment   1.8 μB/cell
Formation enthalpy at 0 K   0.7362 eV/atom
Raw total energy   -2.791 eV/atom
Space group   Pm-3m (221)


(2)
BeReRu after structural relaxation, computed with PBEsol.

a b c (Å): 4.9324 4.9324 4.9324
angles (deg): 146.94 146.94 47.46
Last column: nearest neighbours and their distance in Å.
Sites, in units of the cell vectors:
Be  0.0000  0.0000  0.0000  4 Ru 2.40, 4 Re 2.49
Re  0.6663  0.6663  0.0000  4 Be 2.49, 4 Ru 2.60
Ru  0.3515  0.3515  0.0000  4 Be 2.40, 4 Re 2.60

Summary:
DOS(E_F)   1.103 states/eV/f.u.
Size of the total moment   0.0 μB/cell
Formation enthalpy at 0 K   -0.2017 eV/atom
Raw total energy   -9.370 eV/atom
Space group   I4mm (107)


(3)
SrMgAg3 after structural relaxation, computed with PBEsol.

a b c (Å): 5.0188 5.0188 5.0188
angles (deg): 90.00 90.00 90.00
Last column: nearest neighbours and their distance in Å.
Sites, in units of the cell vectors:
Sr  0.0000  0.0000  0.0000  12 Ag 3.55
Mg  0.5000  0.5000  0.5000  6 Ag 2.51
Ag  0.0000  0.5000  0.5000  2 Mg 2.51
Ag  0.5000  0.0000  0.5000  2 Mg 2.51
Ag  0.5000  0.5000  0.0000  2 Mg 2.51

Summary:
DOS(E_F)   2.309 states/eV/f.u.
Size of the total moment   0.0 μB/cell
Formation enthalpy at 0 K   0.1234 eV/atom
Raw total energy   -2.575 eV/atom
Space group   Pm-3m (221)


(4)
KMgNF2 after structural relaxation, computed with PBEsol.

a b c (Å): 4.0523 4.0523 4.2759
angles (deg): 90.00 90.00 90.00
Last column: nearest neighbours and their distance in Å.
Sites, in units of the cell vectors:
K  0.0000  0.0000  0.0000  4 N 2.87, 8 F 2.95
Mg  0.5000  0.5000  0.5000  4 F 2.03, 2 N 2.14
N  0.5000  0.5000  0.0000  2 Mg 2.14
F  0.0000  0.5000  0.5000  2 Mg 2.03
F  0.5000  0.0000  0.5000  2 Mg 2.03

Summary:
DOS(E_F)   0.010 states/eV/f.u.
Size of the total moment   2.0 μB/cell
Raw formation energy   -1.66 eV per atom
Raw total energy   -4.706 eV/atom
Space group   P4/mmm (123)


(5)
TaPRuS2 after structural relaxation, computed with PBEsol.

a b c (Å): 4.6363 4.6363 4.8234
angles (deg): 90.00 90.00 90.00
Last column: nearest neighbours and their distance in Å.
Sites, in units of the cell vectors:
Ta  0.0000  0.0000  0.0000  4 S 2.32, 2 P 2.41
P  0.0000  0.0000  0.5000  2 Ta 2.41
Ru  0.5000  0.5000  0.5000  4 P 3.28, 8 S 3.35
S  0.0000  0.5000  0.0000  2 Ta 2.32
S  0.5000  0.0000  0.0000  2 Ta 2.32

Summary:
DOS(E_F)   5.244 states/eV/f.u.
Size of the total moment   3.2 μB/cell
Raw formation energy   0.76 eV per atom
Raw total energy   -6.700 eV/atom
Space group   P4/mmm (123)


(6)
K2AlCu after structural relaxation, computed with PBEsol.

a b c (Å): 4.3355 4.3958 6.0991
angles (deg): 90.00 90.10 90.00
Last column: nearest neighbours and their distance in Å.
Sites, in units of the cell vectors:
K  0.0011  0.0000  0.2594  2 K 2.94-3.16
K  0.9989  0.0000  0.7406  2 K 2.94-3.16
Al  0.5000  0.5000  0.0000  2 Cu 3.05
Cu  0.5000  0.5000  0.5000  2 Al 3.05, 4 K 3.41

Summary:
DOS(E_F)   1.941 states/eV/f.u.
Size of the total moment   0.0 μB/cell
Formation enthalpy at 0 K   0.5963 eV/atom
Raw total energy   -2.077 eV/atom
Space group   P2/m (10)


(7)
Zr2TaIF after structural relaxation, computed with PBEsol.

a b c (Å): 5.2645 5.2645 4.9287
angles (deg): 90.00 90.00 90.00
Last column: nearest neighbours and their distance in Å.
Sites, in units of the cell vectors:
Zr  0.0000  0.5000  0.0000  2 I 2.63
Zr  0.5000  0.0000  0.0000  2 I 2.63
Ta  0.0000  0.0000  0.5000  2 I 2.46
I  0.0000  0.0000  0.0000  2 Ta 2.46, 4 Zr 2.63
F  0.5000  0.5000  0.5000  8 Zr 3.61, 4 Ta 3.72

Summary:
DOS(E_F)   7.238 states/eV/f.u.
Size of the total moment   0.1 μB/cell
Raw formation energy   1.38 eV per atom
Raw total energy   -5.505 eV/atom
Space group   P4/mmm (123)


(8)
Mn7CdO12 after structural relaxation, computed with PBEsol.

a b c (Å): 6.3431 6.3431 6.3431
angles (deg): 109.47 109.47 109.47
Last column: nearest neighbours and their distance in Å.
Sites, in units of the cell vectors:
Mn  0.0000  0.0000  0.5000  6 O 1.95
Mn  0.0000  0.5000  0.0000  6 O 1.95
Mn  0.0000  0.5000  0.5000  4 O 1.91
Mn  0.5000  0.0000  0.0000  6 O 1.95
Mn  0.5000  0.0000  0.5000  4 O 1.91
Mn  0.5000  0.5000  0.0000  4 O 1.91
Mn  0.5000  0.5000  0.5000  6 O 1.95
Cd  0.0000  0.0000  0.0000  12 O 2.62
O  0.1305  0.8211  0.3094  3 Mn 1.91-1.95
O  0.1789  0.3094  0.4884  3 Mn 1.91-1.95
O  0.1789  0.6906  0.8695  3 Mn 1.91-1.95
O  0.3094  0.1305  0.8211  3 Mn 1.91-1.95
O  0.3094  0.4884  0.1789  3 Mn 1.91-1.95
O  0.4884  0.1789  0.3094  3 Mn 1.91-1.95
O  0.5116  0.8211  0.6906  3 Mn 1.91-1.95
O  0.6906  0.5116  0.8211  3 Mn 1.91-1.95
O  0.6906  0.8695  0.1789  3 Mn 1.91-1.95
O  0.8211  0.3094  0.1305  3 Mn 1.91-1.95
O  0.8211  0.6906  0.5116  3 Mn 1.91-1.95
O  0.8695  0.1789  0.6906  3 Mn 1.91-1.95

Summary:
DOS(E_F)   4.017 states/eV/f.u.
Size of the total moment   26.9 μB/cell
Raw formation energy   -1.54 eV per atom
Raw total energy   -8.161 eV/atom
Space group   Im-3 (204)